First-principles (PBE) data for a relaxed TiTl2Ge crystal, as listed in Alexandria via LeMat-Bulk.

a b c (Å): 5.095 5.095 5.095
angles (deg): 60.00 60.00 60.00
Fractional positions:
Tl (0.250, 0.250, 0.250)
Tl (0.750, 0.750, 0.750)
Ge (0.500, 0.500, 0.500)
Ti (0.000, 0.000, 0.000)

* energy of formation from the pure elements: 505 meV per atom
* VASP energy: -3.81 eV/atom
* space-group type: Fm-3m (225)

=====

First-principles (PBE) data for a relaxed GaSbAu crystal, as listed in Alexandria via LeMat-Bulk.

a b c (Å): 3.974 3.974 5.071
angles (deg): 113.07 113.07 90.00
Fractional positions:
Sb (0.948, 0.948, 0.897)
Au (0.290, 0.290, 0.579)
Ga (0.612, 0.612, 0.224)

* VASP energy: -3.39 eV/atom
* space-group type: I4mm (107)

=====

Q: VASP energy of number 2 (GaSbAu)?
A: -3.39 eV/atom

=====

Q: VASP energy of number 1 (TiTl2Ge)?
A: -3.81 eV/atom